A plane-wave DFT calculation with PBE-GGA was carried out for a geometry-optimized SmLuPb2 structure.

Values from the calculation:
The calculation puts the formation energy at -407 meV per atom. For the raw total energy, the calculation gives -4.57 eV/atom.

abc: 5.050 5.050 4.450
angles: 90.00 90.00 90.00
Space group P4/mmm (No. 123)
One atom of each set of equivalent atoms:
Sm (0.000, 0.000, 0.000) [1 per cell]
Lu (0.500, 0.500, 0.000) [1 per cell]
Pb (0.000, 0.500, 0.500) [2 per cell]

A plane-wave DFT calculation with PBE-GGA was carried out for a geometry-optimized K3ReC4N4O2 structure.

Values from the calculation:
For the raw total energy, the calculation gives -7.40 eV/atom. The value obtained for the energy relative to the lowest polymorph listed for this composition is 0.000 eV per atom. The value obtained for the raw formation energy is -552 meV/atom.

abc: 6.489 7.042 7.567
angles: 106.44 110.98 105.51
Space group P-1 (No. 2)
One atom of each set of equivalent atoms:
K (0.000, 0.000, 0.000) [1 per cell]
K (0.460, 0.667, 0.301) [2 per cell]
Re (0.000, 0.500, 0.500) [1 per cell]
C (0.103, 0.403, 0.748) [2 per cell]
C (0.325, 0.789, 0.666) [2 per cell]
N (0.159, 0.345, 0.883) [2 per cell]
N (0.491, 0.058, 0.258) [2 per cell]
O (0.153, 0.363, 0.390) [2 per cell]

A plane-wave DFT calculation with PBE-GGA was carried out for a geometry-optimized HfSc4Al structure.

Values from the calculation:
The calculation puts the formation energy at -44 meV per atom. For the raw total energy, the calculation gives -6.55 eV/atom. The value obtained for the energy relative to the lowest polymorph listed for this composition is 0.048 eV per atom.

abc: 8.526 4.940 6.335
angles: 90.00 90.25 90.00
Space group C2/m (No. 12)
One atom of each set of equivalent atoms:
Hf (0.000, 0.000, 0.000) [2 per cell]
Sc (0.166, 0.500, 0.142) [4 per cell]
Sc (0.167, 0.500, 0.656) [4 per cell]
Al (0.000, 0.000, 0.500) [2 per cell]

Q: Which value of raw total energy does entry 1 give?
A: -4.57 eV/atom

Copy entry 3 word for word.
A plane-wave DFT calculation with PBE-GGA was carried out for a geometry-optimized HfSc4Al structure.

Values from the calculation:
The calculation puts the formation energy at -44 meV per atom. For the raw total energy, the calculation gives -6.55 eV/atom. The value obtained for the energy relative to the lowest polymorph listed for this composition is 0.048 eV per atom.

abc: 8.526 4.940 6.335
angles: 90.00 90.25 90.00
Space group C2/m (No. 12)
One atom of each set of equivalent atoms:
Hf (0.000, 0.000, 0.000) [2 per cell]
Sc (0.166, 0.500, 0.142) [4 per cell]
Sc (0.167, 0.500, 0.656) [4 per cell]
Al (0.000, 0.000, 0.500) [2 per cell]

Q: What is the raw total energy in the second record?
A: -7.40 eV/atom

What did the first record say?
A plane-wave DFT calculation with PBE-GGA was carried out for a geometry-optimized SmLuPb2 structure.

Values from the calculation:
The calculation puts the formation energy at -407 meV per atom. For the raw total energy, the calculation gives -4.57 eV/atom.

abc: 5.050 5.050 4.450
angles: 90.00 90.00 90.00
Space group P4/mmm (No. 123)
One atom of each set of equivalent atoms:
Sm (0.000, 0.000, 0.000) [1 per cell]
Lu (0.500, 0.500, 0.000) [1 per cell]
Pb (0.000, 0.500, 0.500) [2 per cell]